The following is a DFT calculation (meta-GGA SCAN) of a crystal of ZrS2Br relaxed with PBEsol.

Output
As for the magnetic moment: 3.8 μB/cell. As for the energy: -289.7 eV for the cell shown. The calculation puts the uncorrected formation energy at -3.0 eV per formula unit.

Lattice parameters (Å, degrees): 6.818 6.818 10.045 90.00 90.00 90.00
Space group I-42d (No. 122)
Unique sites:
Zr 0.000 0.000 0.000 [4 per cell]
S 0.166 0.250 0.125 [8 per cell]
Br 0.000 0.000 0.500 [4 per cell]

The following is a DFT calculation (meta-GGA SCAN) of a crystal of InSiAs relaxed with PBEsol.

Output
As for the magnetic moment: 0.0 μB/cell. As for the energy: -246.9 eV for the cell shown. The calculation puts the offset from the most stable computed form at 0.2007 eV per atom. The calculation puts the uncorrected formation energy at 1.9 eV per formula unit.

Lattice parameters (Å, degrees): 6.519 6.519 6.519 90.00 90.00 90.00
Space group F-43m (No. 216)
Unique sites:
In 0.000 0.000 0.000 [4 per cell]
Si 0.250 0.250 0.250 [4 per cell]
As 0.250 0.250 0.750 [4 per cell]

The following is a DFT calculation (meta-GGA SCAN) of a crystal of Cs2WBr6 relaxed with PBEsol.

Output
As for the magnetic moment: 8.0 μB/cell. As for the energy: -1092.3 eV for the cell shown. The calculation puts the uncorrected formation energy at -11.0 eV per formula unit.

Lattice parameters (Å, degrees): 10.599 10.599 10.599 90.00 90.00 90.00
Space group Fm-3m (No. 225)
Unique sites:
Cs 0.250 0.250 0.250 [8 per cell]
W 0.000 0.000 0.000 [4 per cell]
Br 0.000 0.000 0.239 [24 per cell]

The following is a DFT calculation (meta-GGA SCAN) of a crystal of Mg2InRu relaxed with PBEsol.

Output
The value obtained for the formation energy is -0.091 eV/atom. As for the magnetic moment: 0.0 μB/cell. As for the energy: -78.5 eV for the cell shown.

Lattice parameters (Å, degrees): 3.380 3.380 6.266 90.00 90.00 90.00
Space group P4mm (No. 99)
Unique sites:
Mg 0.000 0.000 0.000 [1 per cell]
Mg 0.500 0.500 0.279 [1 per cell]
In 0.500 0.500 0.718 [1 per cell]
Ru 0.000 0.000 0.490 [1 per cell]

The following is a DFT calculation (meta-GGA SCAN) of a crystal of CdPBr relaxed with PBEsol.

Output
As for the magnetic moment: 7.0 μB/cell. As for the energy: -229.3 eV for the cell shown. The calculation puts the uncorrected formation energy at 3.0 eV per formula unit.

Lattice parameters (Å, degrees): 6.668 6.668 6.668 90.00 90.00 90.00
Space group F-43m (No. 216)
Unique sites:
Cd 0.000 0.000 0.000 [4 per cell]
P 0.000 0.000 0.500 [4 per cell]
Br 0.250 0.250 0.250 [4 per cell]

The following is a DFT calculation (meta-GGA SCAN) of a crystal of MgBPd3 relaxed with PBEsol.

Output
The value obtained for the formation energy is -0.502 eV/atom. As for the magnetic moment: 0.0 μB/cell. As for the energy: -113.2 eV for the cell shown.

Lattice parameters (Å, degrees): 4.134 4.134 4.134 90.00 90.00 90.00
Space group Pm-3m (No. 221)
Unique sites:
Mg 0.000 0.000 0.000 [1 per cell]
B 0.500 0.500 0.500 [1 per cell]
Pd 0.000 0.500 0.500 [3 per cell]

The following is a DFT calculation (meta-GGA SCAN) of a crystal of Ta3Au relaxed with PBEsol.

Output
The value obtained for the formation energy is -0.113 eV/atom. As for the magnetic moment: 0.0 μB/cell. As for the energy: -538.7 eV for the cell shown. The calculation puts the offset from the most stable computed form at 0.0480 eV per atom.

Lattice parameters (Å, degrees): 3.456 4.406 9.089 90.00 90.00 90.00
Space group Cmmm (No. 65)
Unique sites:
Ta 0.000 0.000 0.000 [2 per cell]
Ta 0.000 0.500 0.251 [4 per cell]
Au 0.000 0.000 0.500 [2 per cell]

The following is a DFT calculation (meta-GGA SCAN) of a crystal of Na3CrF relaxed with PBEsol.

Output
As for the magnetic moment: 6.0 μB/cell. As for the energy: -34.1 eV for the cell shown. The calculation puts the uncorrected formation energy at 0.5 eV per formula unit.

Lattice parameters (Å, degrees): 5.755 5.755 5.755 90.00 90.00 90.00
Space group Pm-3m (No. 221)
Unique sites:
Na 0.000 0.000 0.500 [3 per cell]
Cr 0.000 0.000 0.000 [1 per cell]
F 0.500 0.500 0.500 [1 per cell]

> Look up the magnetic moment of the eighth one.

6.0 μB/cell

> What is the energy in the second record?

-246.9 eV for the cell shown

> What is the formula in the second record?

InSiAs